First-principles (SCAN) data for AsRhCl3 at its PBEsol-relaxed geometry, as listed in the Alexandria database.

Values from the calculation:
space group: No. 221
magnetic moment: 0.001 μB/atom

The structure in POSCAR format:
```
AsRhCl3
1.0
-4.587 -0.622 0.370
-0.128 -1.635 -4.345
0.712 -4.302 1.598
As Rh Cl
1 1 3
direct
0.500 0.500 0.500
0.000 0.000 0.000
0.000 0.500 0.000
0.000 0.000 0.500
0.500 0.000 0.000
```

***

First-principles (SCAN) data for MgReBr at its PBEsol-relaxed geometry, as listed in the Alexandria database.

Values from the calculation:
space group: No. 187
magnetic moment: 0.000 μB/atom
ΔE to the lowest computed polymorph: 208 meV/atom

The structure in POSCAR format:
```
MgReBr
1.0
2.907 0.000 0.000
0.000 4.525 0.000
0.000 -2.263 3.919
Br Mg Re
1 1 1
direct
0.500 0.000 0.000
0.000 0.333 0.667
0.500 0.667 0.333
```

***

Number 1: E -77.00 eV for the cell shown. Number 2: E -92.84 eV for the cell shown.